{
  "formula": "Li3Np2CoSe6",
  "functional": "PBE",
  "state": "relaxed",
  "e_form_raw_mev_per_atom": -967,
  "spacegroup": "C2/m",
  "lattice": [[-3.9586, 4.9777, -2.1572], [-2.6271, -5.1324, 3.4436], [3.1984, 3.2651, 5.1336]],
  "species": ["Li", "Li", "Li", "Np", "Np", "Co", "Se", "Se", "Se", "Se", "Se", "Se"],
  "frac_coords": [[0.1684, 0.8316, 0.5000], [0.8316, 0.1684, 0.5000], [0.5000, 0.5000, 0.5000], [0.3330, 0.6670, 0.0000], [0.6670, 0.3330, 0.0000], [0.0000, 0.0000, 0.0000], [0.9174, 0.6071, 0.7522], [0.7722, 0.7722, 0.2429], [0.0826, 0.3929, 0.2478], [0.6071, 0.9174, 0.7522], [0.2278, 0.2278, 0.7571], [0.3929, 0.0826, 0.2478]]
}